VInO2F: relaxed, PBE+U.

density of states at the Fermi level = 2.076 states/eV/cell
symmetry = P4/mmm, No. 123
E = -0.22234 Ha/atom

a = 3.9441 Å, b = 3.9441 Å, c = 4.2555 Å
α = 90.00°, β = 90.00°, γ = 90.00°
Closest atoms and distances in Å follow each position.
Fractional positions:
1 V 0.0000 0.0000 0.0000  4 O 1.97, 2 F 2.13
2 In 0.5000 0.5000 0.5000  4 F 2.79, 8 O 2.90
3 O 0.0000 0.5000 0.0000  2 V 1.97
4 O 0.5000 0.0000 0.0000  2 V 1.97
5 F 0.0000 0.0000 0.5000  2 V 2.13